--- a ---
Computed, not measured: a geometry-optimized AgAs2HSe structure at the PBE-GGA level of DFT.

Cell and atoms, written as CIF:
```
data_AgAs2HSe
_chemical_formula_sum 'Ag1 As2 H1 Se1'
_space_group_name_H-M_alt 'P 4/m m m'
_space_group_IT_number 123
_space_group_name_Hall '-P 4 2'
_cell_length_a 4.002
_cell_length_b 4.002
_cell_length_c 5.392
_cell_angle_alpha 90.00
_cell_angle_beta 90.00
_cell_angle_gamma 90.00
loop_
_atom_site_label
_atom_site_type_symbol
_atom_site_fract_x
_atom_site_fract_y
_atom_site_fract_z
Ag1 Ag 0.000 0.000 0.000
As1 As 0.000 0.500 0.500
H1 H 0.500 0.500 0.500
Se1 Se 0.500 0.500 0.000
```

## Properties
- Total magnetic moment: 0.000 μB per cell
- Theoretical density: 6.5 g/cm3
- Fermi-level density of states: 2.5 states/eV/cell



--- b ---
Computed, not measured: a geometry-optimized AgAs2HSe structure at the PBE-GGA level of DFT.

Cell and atoms, written as CIF:
```
data_AgAs2HSe
_chemical_formula_sum 'Ag1 As2 H1 Se1'
_space_group_name_H-M_alt 'P 4/m m m'
_space_group_IT_number 123
_space_group_name_Hall '-P 4 2'
_cell_length_a 5.054
_cell_length_b 5.054
_cell_length_c 5.180
_cell_angle_alpha 90.00
_cell_angle_beta 90.00
_cell_angle_gamma 90.00
loop_
_atom_site_label
_atom_site_type_symbol
_atom_site_fract_x
_atom_site_fract_y
_atom_site_fract_z
Ag1 Ag 0.000 0.000 0.000
As1 As 0.000 0.500 0.000
H1 H 0.500 0.500 0.500
Se1 Se 0.000 0.000 0.500
```

## Properties
- Total magnetic moment: 0.415 μB per cell
- Theoretical density: 4.2 g/cm3
- Fermi-level density of states: 3.9 states/eV/cell



Question: which arrangement is favored energetically? Ranking from most to least stable: a, b.